Version a
Compound: Mg2HOs
Source: Alexandria
Functional: GGA-PBE
Structure: optimized geometry

a = 8.5300 Å, b = 4.3644 Å, c = 2.8884 Å
α = 90.00°, β = 98.33°, γ = 90.00°
Last column: nearest neighbours and their distance in Å.
Space group Cm (No. 8)
Unique sites:
Mg (0.0000, 0.0000, 0.0000) [2 per cell]  1 H 2.17
Mg (0.1805, 0.5000, 0.6445) [2 per cell]  2 H 2.25
H (0.2330, 0.0000, 0.7817) [2 per cell]  2 Os 1.78
Os (0.3555, 0.0000, 0.3337) [2 per cell]  2 H 1.78

Properties
Density of states at the Fermi level, states/eV per cell: 4.9

=====

Version b
Compound: Mg2HOs
Source: Alexandria
Functional: GGA-PBE
Structure: optimized geometry

a = 4.7137 Å, b = 5.3750 Å, c = 5.5000 Å
α = 63.82°, β = 66.26°, γ = 64.95°
Last column: nearest neighbours and their distance in Å.
Space group P1 (No. 1)
Unique sites:
Mg (0.0000, 0.0000, 0.0000) [1 per cell]  2 H 2.04-2.25
Mg (0.0898, 0.4383, 0.4601) [1 per cell]  2 H 2.15-2.33
Mg (0.3876, 0.8077, 0.4765) [1 per cell]  2 H 2.36-2.57
Mg (0.7108, 0.6221, 0.9557) [1 per cell]  2 H 2.13-2.18
H (0.0179, 0.2722, 0.2060) [1 per cell]  2 Os 1.79-1.85
H (0.2549, 0.5952, 0.9707) [1 per cell]  1 Os 1.70
Os (0.4116, 0.2616, 0.9340) [1 per cell]  2 H 1.70-1.85
Os (0.7070, 0.1399, 0.4986) [1 per cell]  1 H 1.79

Properties
Density of states at the Fermi level, states/eV per cell: 0.7

=====

Which one sits at the top of the stability order? version b does.

=====

Version a
Compound: KCrTc2
Source: Alexandria
Functional: GGA-PBE
Structure: optimized geometry

a = 6.3178 Å, b = 6.3178 Å, c = 6.3178 Å
α = 90.00°, β = 90.00°, γ = 90.00°
Last column: nearest neighbours and their distance in Å.
Space group Fm-3m (No. 225)
Unique sites:
K (0.0000, 0.0000, 0.0000) [4 per cell]  8 Tc 2.74
Cr (0.0000, 0.0000, 0.5000) [4 per cell]  8 Tc 2.74
Tc (0.2500, 0.2500, 0.2500) [8 per cell]  4 Cr 2.74, 4 K 2.74

Properties
Density of states at the Fermi level, states/eV per cell: 23.9

=====

Version b
Compound: KCrTc2
Source: Alexandria
Functional: GGA-PBE
Structure: optimized geometry

a = 4.9868 Å, b = 4.9868 Å, c = 15.8181 Å
α = 90.00°, β = 90.00°, γ = 90.00°
Last column: nearest neighbours and their distance in Å.
Space group I4_1/amd (No. 141, origin choice 2)
Unique sites:
K (0.0000, 0.2500, 0.3750) [4 per cell]  8 Tc 3.42, 4 Cr 3.53
Cr (0.0000, 0.2500, 0.8750) [4 per cell]  4 Tc 2.34
Tc (0.0000, 0.0000, 0.0000) [8 per cell]  2 Cr 2.34, 2 Tc 2.49

Properties
Density of states at the Fermi level, states/eV per cell: 26.7

=====

Which one sits at the top of the stability order? version a does.

=====

Version a
Compound: Mg2SiB
Source: Alexandria
Functional: GGA-PBE
Structure: optimized geometry

a = 3.4138 Å, b = 3.9659 Å, c = 9.0838 Å
α = 90.00°, β = 90.00°, γ = 90.00°
Last column: nearest neighbours and their distance in Å.
Space group Amm2 (No. 38)
Unique sites:
Mg (0.0000, 0.0000, 0.0000) [2 per cell]  3 Si 2.69-2.73, 4 B 2.71
Mg (0.5000, 0.0000, 0.3042) [2 per cell]  1 B 2.49, 4 Si 2.78
Si (0.0000, 0.0000, 0.6998) [2 per cell]  2 B 2.03
B (0.5000, 0.0000, 0.5778) [2 per cell]  2 Si 2.03

Properties
Density of states at the Fermi level, states/eV per cell: 1.0

=====

Version b
Compound: Mg2SiB
Source: Alexandria
Functional: GGA-PBE
Structure: optimized geometry

a = 5.5722 Å, b = 3.3588 Å, c = 7.1031 Å
α = 90.00°, β = 106.16°, γ = 90.00°
Last column: nearest neighbours and their distance in Å.
Space group Pm (No. 6)
Unique sites:
Mg (0.0000, 0.0000, 0.0000) [1 per cell]  3 B 2.53-2.58
Mg (0.1368, 0.5000, 0.6624) [1 per cell]  3 B 2.47-2.62
Mg (0.3769, 0.0000, 0.3940) [1 per cell]  3 B 2.51-2.57, 2 Si 2.79-2.80
Mg (0.5454, 0.5000, 0.0705) [1 per cell]  1 B 2.63, 3 Si 2.76-2.84
Si (0.6502, 0.5000, 0.7133) [1 per cell]  2 B 2.03
Si (0.8626, 0.0000, 0.3562) [1 per cell]  3 B 2.03-2.09
B (0.0168, 0.5000, 0.2784) [1 per cell]  2 Si 2.03
B (0.8033, 0.0000, 0.6335) [1 per cell]  3 Si 2.03-2.09

Properties
Density of states at the Fermi level, states/eV per cell: 1.3

=====

Which one sits at the top of the stability order? version a does.

=====

Version a
Compound: SrTl2Cl
Source: Alexandria
Functional: GGA-PBE
Structure: optimized geometry

a = 4.3666 Å, b = 4.3666 Å, c = 6.8577 Å
α = 90.00°, β = 90.00°, γ = 90.00°
Last column: nearest neighbours and their distance in Å.
Space group P4/mmm (No. 123)
Unique sites:
Sr (0.0000, 0.0000, 0.0000) [1 per cell]  4 Cl 3.09
Tl (0.0000, 0.5000, 0.5000) [2 per cell]  4 Tl 3.09
Cl (0.5000, 0.5000, 0.0000) [1 per cell]  4 Sr 3.09

Properties
Density of states at the Fermi level, states/eV per cell: 3.8

=====

Version b
Compound: SrTl2Cl
Source: Alexandria
Functional: GGA-PBE
Structure: optimized geometry

a = 10.3284 Å, b = 10.3284 Å, c = 5.6929 Å
α = 90.00°, β = 90.00°, γ = 90.00°
Last column: nearest neighbours and their distance in Å.
Space group I-42d (No. 122)
Unique sites:
Sr (0.0000, 0.0000, 0.0000) [4 per cell]  2 Cl 2.85
Tl (0.1858, 0.7500, 0.6250) [8 per cell]  2 Tl 3.14, 2 Cl 3.29
Cl (0.0000, 0.0000, 0.5000) [4 per cell]  2 Sr 2.85

Properties
Density of states at the Fermi level, states/eV per cell: 14.6

=====

Which one sits at the top of the stability order? version a does.

=====

Version a
Compound: VTcGe
Source: Alexandria
Functional: GGA-PBE
Structure: optimized geometry

a = 4.2888 Å, b = 4.2888 Å, c = 5.4079 Å
α = 90.00°, β = 90.00°, γ = 120.00°
Last column: nearest neighbours and their distance in Å.
Space group P-3m1 (No. 164)
Unique sites:
V (0.3333, 0.6667, 0.0612) [2 per cell]  1 Tc 2.44, 3 V 2.56, 3 Ge 2.67
Tc (0.3333, 0.6667, 0.6100) [2 per cell]  1 V 2.44, 3 Ge 2.60
Ge (0.0000, 0.0000, 0.2461) [2 per cell]  3 Tc 2.60, 2 Ge 2.66-2.75, 3 V 2.67

Properties
Density of states at the Fermi level, states/eV per cell: 3.1

=====

Version b
Compound: VTcGe
Source: Alexandria
Functional: GGA-PBE
Structure: optimized geometry

a = 4.2972 Å, b = 4.2972 Å, c = 2.7290 Å
α = 90.00°, β = 90.00°, γ = 120.00°
Last column: nearest neighbours and their distance in Å.
Space group P3m1 (No. 156)
Unique sites:
V (0.0000, 0.0000, 0.0000) [1 per cell]  3 Tc 2.67, 2 V 2.73, 6 Ge 2.80-2.86
Tc (0.6667, 0.3333, 0.3617) [1 per cell]  3 Ge 2.50, 3 V 2.67, 2 Tc 2.73
Ge (0.3333, 0.6667, 0.4777) [1 per cell]  3 Tc 2.50, 2 Ge 2.73

Properties
Density of states at the Fermi level, states/eV per cell: 2.4

=====

Which one sits at the top of the stability order? version a does.

=====

Version a
Compound: PbW
Source: Alexandria
Functional: GGA-PBE
Structure: optimized geometry

a = 3.4137 Å, b = 3.4137 Å, c = 3.4137 Å
α = 90.00°, β = 90.00°, γ = 90.00°
Last column: nearest neighbours and their distance in Å.
Space group Pm-3m (No. 221)
Unique sites:
Pb (0.0000, 0.0000, 0.0000) [1 per cell]  8 W 2.96
W (0.5000, 0.5000, 0.5000) [1 per cell]  8 Pb 2.96

Properties
Density of states at the Fermi level, states/eV per cell: 2.2

=====

Version b
Compound: PbW
Source: Alexandria
Functional: GGA-PBE
Structure: optimized geometry

a = 6.9287 Å, b = 6.9287 Å, c = 6.9287 Å
α = 90.00°, β = 90.00°, γ = 90.00°
Last column: nearest neighbours and their distance in Å.
Space group Fd-3m (No. 227, origin choice 2)
Unique sites:
Pb (0.1250, 0.1250, 0.1250) [8 per cell]  4 Pb 3.00, 4 W 3.00
W (0.1250, 0.1250, 0.6250) [8 per cell]  4 W 3.00, 4 Pb 3.00

Properties
Density of states at the Fermi level, states/eV per cell: 2.8

=====

Which one sits at the top of the stability order? version b does.

=====

Version a
Compound: CoOsCl2
Source: Alexandria
Functional: GGA-PBE
Structure: optimized geometry

a = 13.9644 Å, b = 2.8776 Å, c = 4.3514 Å
α = 90.00°, β = 91.75°, γ = 90.00°
Last column: nearest neighbours and their distance in Å.
Space group C2/m (No. 12)
Unique sites:
Co (0.0000, 0.0000, 0.0000) [2 per cell]  4 Cl 2.58, 4 Os 2.61, 2 Co 2.88
Os (0.0000, 0.5000, 0.5000) [2 per cell]  2 Cl 2.30
Cl (0.1381, 0.5000, 0.2250) [4 per cell]  1 Os 2.30, 2 Co 2.58

Properties
Density of states at the Fermi level, states/eV per cell: 7.0

=====

Version b
Compound: CoOsCl2
Source: Alexandria
Functional: GGA-PBE
Structure: optimized geometry

a = 2.8500 Å, b = 5.3984 Å, c = 7.9534 Å
α = 90.00°, β = 90.00°, γ = 90.00°
Last column: nearest neighbours and their distance in Å.
Space group Cmmm (No. 65)
Unique sites:
Co (0.0000, 0.0000, 0.0000) [2 per cell]  4 Cl 2.37
Os (0.0000, 0.0000, 0.5000) [2 per cell]  4 Cl 2.53
Cl (0.0000, 0.5000, 0.2376) [4 per cell]  2 Co 2.37, 2 Os 2.53

Properties
Density of states at the Fermi level, states/eV per cell: 9.3

=====

Which one sits at the top of the stability order? version a does.

=====

Version a
Compound: CaCoMo2
Source: Alexandria
Functional: GGA-PBE
Structure: optimized geometry

a = 3.1779 Å, b = 4.9758 Å, c = 8.7813 Å
α = 90.00°, β = 90.00°, γ = 90.00°
Last column: nearest neighbours and their distance in Å.
Space group Imm2 (No. 44)
Unique sites:
Ca (0.0000, 0.0000, 0.0000) [2 per cell]  2 Co 2.83, 8 Mo 2.95-3.11
Co (0.0000, 0.5000, 0.7667) [2 per cell]  2 Mo 2.54, 2 Ca 2.83
Mo (0.0000, 0.0000, 0.4925) [2 per cell]  2 Mo 2.51, 2 Co 2.54
Mo (0.0000, 0.5000, 0.2132) [2 per cell]  2 Mo 2.51

Properties
Density of states at the Fermi level, states/eV per cell: 7.7

=====

Version b
Compound: CaCoMo2
Source: Alexandria
Functional: GGA-PBE
Structure: optimized geometry

a = 5.2607 Å, b = 9.7364 Å, c = 2.6357 Å
α = 90.00°, β = 90.00°, γ = 90.00°
Last column: nearest neighbours and their distance in Å.
Space group Cmmm (No. 65)
Unique sites:
Ca (0.0000, 0.0000, 0.0000) [2 per cell]  2 Co 2.63, 2 Ca 2.64
Co (0.0000, 0.5000, 0.0000) [2 per cell]  2 Ca 2.63, 2 Co 2.64
Mo (0.2500, 0.2500, 0.5000) [4 per cell]  4 Mo 2.63-2.64

Properties
Density of states at the Fermi level, states/eV per cell: 10.0

=====

Which one sits at the top of the stability order? version a does.